[1]
{
  "formula": "CaTc2As",
  "functional": "PBE-GGA",
  "state": "relaxed",
  "rho_kg_m3": 7235,
  "n_ef_per_ev_fu": 3.2,
  "formation_energy_ev_per_atom": 0.467,
  "spacegroup": "Cmmm (65)",
  "lattice_angstrom": [[-0.261, -2.306, -1.911], [2.520, -0.070, 1.638], [-4.072, -4.570, 6.070]],
  "species": ["As", "Ca", "Tc", "Tc"],
  "fractional_positions": [[0.500, 0.500, 0.250], [0.500, 0.500, 0.750], [0.000, 0.000, 0.040], [0.000, 0.000, 0.460]]
}

[2]
{
  "formula": "CeMgAgSn",
  "functional": "PBE-GGA",
  "state": "relaxed",
  "rho_kg_m3": 6697,
  "n_ef_per_ev_fu": 6.8,
  "formation_energy_ev_per_atom": -0.342,
  "spacegroup": "F-43m (216)",
  "lattice_angstrom": [[5.156, 0.000, 0.000], [2.578, 4.466, 0.000], [2.578, 1.489, 4.210]],
  "species": ["Ag", "Mg", "Sn", "Ce"],
  "fractional_positions": [[0.750, 0.750, 0.750], [0.500, 0.500, 0.500], [0.250, 0.250, 0.250], [0.000, 0.000, 0.000]]
}

Record-wise size of the total moment values, in μB per atom: 0.000, 0.235